PtPb3Cl | PBE | optimized geometry

Summary:
Energy above the lowest structure with this stoichiometry: 650 meV per atom
Space group: Pm-3m
ΔE_f (raw): 3.00 eV/f.u.

Lattice parameters (Å, degrees): 5.396 5.396 5.396 90.00 90.00 90.00
Fractional coordinates of all 5 atoms:
Pb 0.000 0.500 0.000
Pb 0.000 0.000 0.500
Pb 0.500 0.000 0.000
Pt 0.500 0.500 0.500
Cl 0.000 0.000 0.000